CuHgP2 | Alexandria | PBE | optimized geometry; Fermi-level density of states = 1.6 states/eV per cell; uncorrected energy = -3.354 eV per atom; volume = 17.3 Å³ per atom
1.0
5.823 -0.053 0.049
2.981 5.002 -0.049
-3.599 -3.904 2.392
P Hg Cu
2 1 1
direct
0.955 0.955 0.000
0.545 0.545 0.000
0.250 0.750 0.500
0.750 0.250 0.500